A) Tb2ThIn, relaxed, DFT PBE; calculated volume = 463.6 Å³ per cell; space group = Fm-3m
1.0
7.740 0.000 0.000
0.000 7.740 0.000
0.000 0.000 7.740
Tb Th In
8 4 4
Direct
0.250 0.250 0.250 Tb
0.250 0.250 0.750 Tb
0.250 0.750 0.250 Tb
0.250 0.750 0.750 Tb
0.750 0.250 0.250 Tb
0.750 0.250 0.750 Tb
0.750 0.750 0.250 Tb
0.750 0.750 0.750 Tb
0.000 0.000 0.000 Th
0.000 0.500 0.500 Th
0.500 0.000 0.500 Th
0.500 0.500 0.000 Th
0.000 0.000 0.500 In
0.000 0.500 0.000 In
0.500 0.000 0.000 In
0.500 0.500 0.500 In

B) Tb2ThIn, relaxed, DFT PBE; calculated volume = 116.8 Å³ per cell; space group = P4/mmm
1.0
4.927 0.000 0.000
0.000 4.927 0.000
0.000 0.000 4.810
Tb Th In
2 1 1
Direct
0.000 0.500 0.000 Tb
0.500 0.000 0.000 Tb
0.000 0.000 0.500 Th
0.500 0.500 0.500 In

C) Tb2ThIn, relaxed, DFT PBE; calculated volume = 117.0 Å³ per cell; space group = P4/mmm
1.0
3.594 0.000 0.000
0.000 3.594 0.000
0.000 0.000 9.062
Tb Th In
2 1 1
Direct
0.000 0.000 0.233 Tb
0.000 0.000 0.767 Tb
0.500 0.500 0.500 Th
0.500 0.500 0.000 In

Relative to the most stable one, in eV/atom, the structures come out at A) 0.213; B) 0.033; C) 0.000.

A) Tb4ThIn, relaxed, DFT PBE; calculated volume = 184.0 Å³ per cell; space group = P4/mmm
1.0
3.589 0.000 0.000
0.000 3.589 0.000
0.000 0.000 14.277
Tb Th In
4 1 1
Direct
0.000 0.000 0.147 Tb
0.000 0.000 0.853 Tb
0.500 0.500 0.330 Tb
0.500 0.500 0.670 Tb
0.000 0.000 0.500 Th
0.500 0.500 0.000 In

B) Tb4ThIn, relaxed, DFT PBE; calculated volume = 451.8 Å³ per cell; space group = I4_1md
1.0
-5.743 5.743 3.425
5.743 -5.743 3.425
5.743 5.743 -3.425
Tb Th In
8 2 2
Direct
0.235 0.000 0.235 Tb
0.244 0.502 0.257 Tb
0.244 0.987 0.743 Tb
0.252 0.494 0.757 Tb
0.737 0.494 0.243 Tb
0.750 0.015 0.265 Tb
0.750 0.485 0.735 Tb
0.765 0.000 0.765 Tb
0.565 0.065 0.500 Th
0.815 0.815 0.000 Th
0.060 0.560 0.500 In
0.310 0.310 0.000 In

Relative to the most stable one, in eV/atom, the structures come out at A) 0.000; B) 0.653.

A) TbThTlIn, relaxed, DFT PBE; calculated volume = 225.6 Å³ per cell; space group = I-4m2
1.0
5.056 0.000 0.000
0.000 5.056 0.000
0.000 0.000 8.824
Tb Th Tl In
2 2 2 2
Direct
0.000 0.000 0.000 Tb
0.500 0.500 0.500 Tb
0.000 0.000 0.500 Th
0.500 0.500 0.000 Th
0.000 0.500 0.250 Tl
0.500 0.000 0.750 Tl
0.000 0.500 0.750 In
0.500 0.000 0.250 In

B) TbThTlIn, relaxed, DFT PBE; calculated volume = 456.9 Å³ per cell; space group = F-43m
1.0
7.702 0.000 0.000
0.000 7.702 0.000
0.000 0.000 7.702
Tb Th Tl In
4 4 4 4
Direct
0.000 0.000 0.000 Tb
0.000 0.500 0.500 Tb
0.500 0.000 0.500 Tb
0.500 0.500 0.000 Tb
0.000 0.000 0.500 Th
0.000 0.500 0.000 Th
0.500 0.000 0.000 Th
0.500 0.500 0.500 Th
0.250 0.250 0.750 Tl
0.250 0.750 0.250 Tl
0.750 0.250 0.250 Tl
0.750 0.750 0.750 Tl
0.250 0.250 0.250 In
0.250 0.750 0.750 In
0.750 0.250 0.750 In
0.750 0.750 0.250 In

Relative to the most stable one, in eV/atom, the structures come out at A) 0.000; B) 0.035.

A) Tb4TlIn3, relaxed, DFT PBE; calculated volume = 230.9 Å³ per cell; space group = Pmm2
1.0
4.335 0.000 0.000
0.000 4.613 0.000
0.000 0.000 11.549
Tb Tl In
4 1 3
Direct
0.000 0.000 0.000 Tb
0.000 0.500 0.497 Tb
0.500 0.000 0.727 Tb
0.500 0.500 0.226 Tb
0.000 0.500 0.771 Tl
0.000 0.000 0.277 In
0.500 0.000 0.449 In
0.500 0.500 0.950 In

B) Tb4TlIn3, relaxed, DFT PBE; calculated volume = 216.7 Å³ per cell; space group = P4/mmm
1.0
3.776 0.000 0.000
0.000 3.776 0.000
0.000 0.000 15.198
Tb Tl In
4 1 3
Direct
0.000 0.000 0.124 Tb
0.000 0.000 0.372 Tb
0.000 0.000 0.628 Tb
0.000 0.000 0.876 Tb
0.500 0.500 0.500 Tl
0.500 0.500 0.000 In
0.500 0.500 0.248 In
0.500 0.500 0.752 In

Relative to the most stable one, in eV/atom, the structures come out at A) 0.045; B) 0.000.

A) Tb3TlIn, relaxed, DFT PBE; calculated volume = 285.4 Å³ per cell; space group = Cmcm
1.0
2.527 -11.175 0.000
2.527 11.175 0.000
0.000 0.000 5.054
Tb Tl In
6 2 2
Direct
0.058 0.942 0.750 Tb
0.250 0.750 0.750 Tb
0.442 0.558 0.750 Tb
0.558 0.442 0.250 Tb
0.750 0.250 0.250 Tb
0.942 0.058 0.250 Tb
0.154 0.846 0.250 Tl
0.846 0.154 0.750 Tl
0.346 0.654 0.250 In
0.654 0.346 0.750 In

B) Tb3TlIn, relaxed, DFT PBE; calculated volume = 579.4 Å³ per cell; space group = C2/c
1.0
6.583 -5.179 0.000
6.583 5.179 0.000
-6.320 0.000 8.498
Tb Tl In
12 4 4
Direct
0.036 0.376 0.587 Tb
0.067 0.759 0.977 Tb
0.241 0.933 0.523 Tb
0.306 0.338 0.932 Tb
0.338 0.306 0.432 Tb
0.376 0.036 0.087 Tb
0.624 0.964 0.913 Tb
0.662 0.694 0.568 Tb
0.694 0.662 0.068 Tb
0.759 0.067 0.477 Tb
0.933 0.241 0.023 Tb
0.964 0.624 0.413 Tb
0.211 0.540 0.229 Tl
0.460 0.789 0.271 Tl
0.540 0.211 0.729 Tl
0.789 0.460 0.771 Tl
0.046 0.954 0.750 In
0.339 0.661 0.750 In
0.661 0.339 0.250 In
0.954 0.046 0.250 In

Relative to the most stable one, in eV/atom, the structures come out at A) 0.000; B) 0.105.

A) TbTl2In, relaxed, DFT PBE; calculated volume = 443.9 Å³ per cell; space group = Fm-3m
1.0
7.629 0.000 0.000
0.000 7.629 0.000
0.000 0.000 7.629
Tb Tl In
4 8 4
Direct
0.000 0.000 0.000 Tb
0.000 0.500 0.500 Tb
0.500 0.000 0.500 Tb
0.500 0.500 0.000 Tb
0.250 0.250 0.250 Tl
0.250 0.250 0.750 Tl
0.250 0.750 0.250 Tl
0.250 0.750 0.750 Tl
0.750 0.250 0.250 Tl
0.750 0.250 0.750 Tl
0.750 0.750 0.250 Tl
0.750 0.750 0.750 Tl
0.000 0.000 0.500 In
0.000 0.500 0.000 In
0.500 0.000 0.000 In
0.500 0.500 0.500 In

B) TbTl2In, relaxed, DFT PBE; calculated volume = 106.2 Å³ per cell; space group = P4/mmm
1.0
4.751 0.000 0.000
0.000 4.751 0.000
0.000 0.000 4.705
Tb Tl In
1 2 1
Direct
0.000 0.000 0.000 Tb
0.000 0.500 0.500 Tl
0.500 0.000 0.500 Tl
0.500 0.500 0.000 In

C) TbTl2In, relaxed, DFT PBE; calculated volume = 110.4 Å³ per cell; space group = P4/mmm
1.0
3.977 0.000 0.000
0.000 3.977 0.000
0.000 0.000 6.982
Tb Tl In
1 2 1
Direct
0.000 0.000 0.000 Tb
0.500 0.500 0.256 Tl
0.500 0.500 0.744 Tl
0.000 0.000 0.500 In

Relative to the most stable one, in eV/atom, the structures come out at A) 0.181; B) 0.000; C) 0.160.

A) Tb4Tl5In, relaxed, DFT PBE; calculated volume = 608.5 Å³ per cell; space group = Pmmn
1.0
7.597 0.000 0.000
0.000 10.331 0.000
0.000 0.000 7.753
Tb Tl In
8 10 2
Direct
0.001 0.250 0.200 Tb
0.250 0.065 0.519 Tb
0.250 0.435 0.519 Tb
0.499 0.250 0.200 Tb
0.501 0.750 0.800 Tb
0.750 0.565 0.481 Tb
0.750 0.935 0.481 Tb
0.999 0.750 0.800 Tb
0.051 0.556 0.184 Tl
0.051 0.944 0.184 Tl
0.250 0.250 0.882 Tl
0.449 0.556 0.184 Tl
0.449 0.944 0.184 Tl
0.551 0.056 0.816 Tl
0.551 0.444 0.816 Tl
0.750 0.750 0.118 Tl
0.949 0.056 0.816 Tl
0.949 0.444 0.816 Tl
0.250 0.750 0.468 In
0.750 0.250 0.532 In

B) Tb4Tl5In, relaxed, DFT PBE; calculated volume = 274.3 Å³ per cell; space group = C2/m
1.0
8.770 -2.477 0.000
8.770 2.477 0.000
-1.849 0.000 6.315
Tb Tl In
4 5 1
Direct
0.086 0.086 0.334 Tb
0.301 0.301 0.881 Tb
0.699 0.699 0.119 Tb
0.914 0.914 0.666 Tb
0.106 0.106 0.844 Tl
0.296 0.296 0.389 Tl
0.500 0.500 0.500 Tl
0.704 0.704 0.611 Tl
0.894 0.894 0.156 Tl
0.500 0.500 0.000 In

Relative to the most stable one, in eV/atom, the structures come out at A) 0.264; B) 0.000.

A) Tb6TlIn5, relaxed, DFT PBE; calculated volume = 349.7 Å³ per cell; space group = C2/m
1.0
4.953 -5.600 0.000
4.953 5.600 0.000
-1.421 0.000 6.303
Tb Tl In
6 1 5
Direct
0.082 0.417 0.749 Tb
0.248 0.248 0.244 Tb
0.417 0.082 0.749 Tb
0.583 0.918 0.251 Tb
0.752 0.752 0.756 Tb
0.918 0.583 0.251 Tb
0.000 0.000 0.500 Tl
0.171 0.829 0.000 In
0.338 0.662 0.500 In
0.500 0.500 0.000 In
0.662 0.338 0.500 In
0.829 0.171 0.000 In

B) Tb6TlIn5, relaxed, DFT PBE; calculated volume = 323.6 Å³ per cell; space group = Cmmm
1.0
2.677 -8.037 0.000
2.677 8.037 0.000
0.000 0.000 7.519
Tb Tl In
6 1 5
Direct
0.000 0.000 0.249 Tb
0.000 0.000 0.751 Tb
0.333 0.667 0.249 Tb
0.333 0.667 0.751 Tb
0.667 0.333 0.249 Tb
0.667 0.333 0.751 Tb
0.500 0.500 0.500 Tl
0.166 0.834 0.000 In
0.167 0.833 0.500 In
0.500 0.500 0.000 In
0.833 0.167 0.500 In
0.834 0.166 0.000 In

Relative to the most stable one, in eV/atom, the structures come out at A) 0.147; B) 0.000.

A) TbTmIn, relaxed, DFT PBE; calculated volume = 174.5 Å³ per cell; space group = P4/nmm
1.0
4.583 0.000 0.000
0.000 4.583 0.000
0.000 0.000 8.305
Tb Tm In
2 2 2
Direct
0.250 0.750 0.000 Tb
0.750 0.250 0.000 Tb
0.250 0.250 0.353 Tm
0.750 0.750 0.647 Tm
0.250 0.250 0.725 In
0.750 0.750 0.275 In

B) TbTmIn, relaxed, DFT PBE; calculated volume = 175.9 Å³ per cell; space group = P4/nmm
1.0
4.609 0.000 0.000
0.000 4.609 0.000
0.000 0.000 8.282
Tb Tm In
2 2 2
Direct
0.250 0.250 0.149 Tb
0.750 0.750 0.851 Tb
0.250 0.750 0.500 Tm
0.750 0.250 0.500 Tm
0.250 0.250 0.768 In
0.750 0.750 0.232 In

Relative to the most stable one, in eV/atom, the structures come out at A) 0.037; B) 0.000.

A) TbTmIn, relaxed, DFT PBE; calculated volume = 169.7 Å³ per cell; space group = I4mm
1.0
3.523 0.000 0.000
0.000 3.523 0.000
0.000 0.000 13.676
Tb Tm In
2 2 2
Direct
0.000 0.000 0.000 Tb
0.500 0.500 0.500 Tb
0.000 0.000 0.313 Tm
0.500 0.500 0.813 Tm
0.000 0.000 0.659 In
0.500 0.500 0.159 In

B) TbTmIn, relaxed, DFT PBE; calculated volume = 84.9 Å³ per cell; space group = P3m1
1.0
5.206 0.000 0.000
-2.603 4.508 0.000
0.000 0.000 3.617
Tb Tm In
1 1 1
Direct
0.000 0.000 0.000 Tb
0.667 0.333 0.554 Tm
0.333 0.667 0.330 In

Relative to the most stable one, in eV/atom, the structures come out at A) 0.000; B) 0.088.

A) Tb2Tm4In, relaxed, DFT PBE; calculated volume = 420.3 Å³ per cell; space group = P2_1/c
1.0
6.211 0.000 0.000
0.000 10.563 0.000
-0.004 0.000 6.406
Tb Tm In
4 8 2
Direct
0.246 0.038 0.499 Tb
0.246 0.462 0.999 Tb
0.754 0.538 0.001 Tb
0.754 0.962 0.501 Tb
0.067 0.156 0.999 Tm
0.067 0.344 0.499 Tm
0.411 0.750 0.250 Tm
0.411 0.750 0.750 Tm
0.589 0.250 0.250 Tm
0.589 0.250 0.750 Tm
0.933 0.656 0.501 Tm
0.933 0.844 0.001 Tm
0.500 0.000 0.000 In
0.500 0.500 0.500 In

B) Tb2Tm4In, relaxed, DFT PBE; calculated volume = 416.8 Å³ per cell; space group = P2_1/m
1.0
5.781 0.000 0.000
0.000 6.562 0.000
-2.750 0.000 10.989
Tb Tm In
4 8 2
Direct
0.062 0.250 0.479 Tb
0.339 0.750 0.073 Tb
0.661 0.250 0.927 Tb
0.938 0.750 0.521 Tb
0.158 0.007 0.788 Tm
0.158 0.493 0.788 Tm
0.214 0.250 0.065 Tm
0.373 0.750 0.372 Tm
0.627 0.250 0.628 Tm
0.786 0.750 0.935 Tm
0.842 0.507 0.212 Tm
0.842 0.993 0.212 Tm
0.481 0.250 0.339 In
0.519 0.750 0.661 In

Relative to the most stable one, in eV/atom, the structures come out at A) 0.000; B) 0.012.